No. 1
Entry from Alexandria via LeMat-Bulk: a relaxed structure of HfNpSb2 (PBE).

a = 3.528 Å, b = 3.528 Å, c = 7.756 Å
α = 90.00°, β = 90.00°, γ = 90.00°
Fractional coordinates of all 4 atoms:
Hf 0.500 0.500 0.000
Np 0.500 0.500 0.500
Sb 0.000 0.000 0.229
Sb 0.000 0.000 0.771

Formation energy without anion corrections ... -21.52 kJ per mole of atoms
Symmetry ... No. 123
Total magnetic moment ... 4.9 μB per cell

=====

No. 2
Entry from Alexandria via LeMat-Bulk: a relaxed structure of NdTlH (PBE).

a = 4.258 Å, b = 4.258 Å, c = 7.087 Å
α = 90.00°, β = 90.00°, γ = 90.00°
Fractional coordinates of all 6 atoms:
Tl 0.500 0.000 0.105
Tl 0.000 0.500 0.895
Nd 0.500 0.000 0.640
Nd 0.000 0.500 0.360
H 0.500 0.500 0.500
H 0.000 0.000 0.500

Uncorrected energy ... -3.88 eV per atom
Symmetry ... No. 129
Total magnetic moment ... 0.0 μB per cell